DFT (PBE with a Hubbard U) results for a geometry-optimized Nb3VF structure.

Structure (POSCAR):
```
Nb3VF
1.0
-2.069 -3.815 -1.812
3.201 -2.733 2.098
-2.754 -0.310 3.799
Nb V F
3 1 1
direct
0.000 0.500 0.000
0.000 0.000 0.500
0.500 0.000 0.000
0.000 0.000 0.000
0.500 0.500 0.500
```

## Properties
Crystal system: cubic
M_tot, μB/f.u.: 0.0
Energy above the most stable polymorph in this dataset, meV/atom: 1159